Computed, not measured: a relaxed structure of Hg2MoW at the GGA-PBE level of DFT.

a b c (Å): 4.7076 4.7076 4.7076
angles (deg): 60.00 60.00 60.00
With the nearest neighbours (Å) after each atom.
Sites, in units of the cell vectors:
Hg: 0.0000 0.0000 0.0000  4 Hg 2.88, 4 W 2.88
Hg: 0.2500 0.2500 0.2500  4 Mo 2.88, 4 Hg 2.88
Mo: 0.5000 0.5000 0.5000  4 W 2.88, 4 Hg 2.88
W: 0.7500 0.7500 0.7500  4 Mo 2.88, 4 Hg 2.88

Calculated values
Crystal system ... cubic
Volume ... 18.44 Å³ per atom
E_tot ... -5.14 eV/atom
Fermi-level density of states ... 2.9 states/eV per cell
ρ ... 15.33 g/cm3
Energy above the lowest structure with this stoichiometry ... 0.510 eV/atom
Energy of formation ... 3.82 eV/f.u.